Model A:
# Nb2Pt2Au | Alexandria via LeMat-Bulk | GGA-PBE | optimized geometry
data_Nb2Pt2Au
_cell_length_a 7.878
_cell_length_b 7.878
_cell_length_c 2.841
_cell_angle_alpha 90.00
_cell_angle_beta 90.00
_cell_angle_gamma 90.00
_space_group_name_H-M_alt 'P 4/m b m'
_space_group_IT_number 127
_space_group_name_Hall '-P 4 2ab'
loop_
_atom_site_label
_atom_site_fract_x
_atom_site_fract_y
_atom_site_fract_z
_atom_site_occupancy
Nb1 0.170 0.330 0.000 1
Pt1 0.125 0.625 0.500 1
Au1 0.000 0.000 0.500 1
# DOS at the Fermi energy	0.5854	states/eV/atom

Model B:
# Nb2Pt2Au | Alexandria via LeMat-Bulk | GGA-PBE | optimized geometry
data_Nb2Pt2Au
_cell_length_a 8.028
_cell_length_b 8.028
_cell_length_c 2.802
_cell_angle_alpha 90.00
_cell_angle_beta 90.00
_cell_angle_gamma 90.00
_space_group_name_H-M_alt 'P 4/m b m'
_space_group_IT_number 127
_space_group_name_Hall '-P 4 2ab'
loop_
_atom_site_label
_atom_site_fract_x
_atom_site_fract_y
_atom_site_fract_z
_atom_site_occupancy
Nb1 0.166 0.334 0.000 1
Pt1 0.127 0.627 0.500 1
Au1 0.000 0.000 0.000 1
# DOS at the Fermi energy	0.5607	states/eV/atom

Least stable of them? model B.

Model A:
# RbNb2Au | Alexandria via LeMat-Bulk | GGA-PBE | optimized geometry
data_RbNb2Au
_cell_length_a 4.460
_cell_length_b 4.460
_cell_length_c 21.677
_cell_angle_alpha 90.00
_cell_angle_beta 90.00
_cell_angle_gamma 90.00
_space_group_name_H-M_alt 'I -4 2 d'
_space_group_IT_number 122
_space_group_name_Hall 'I -4 2bw'
loop_
_atom_site_label
_atom_site_fract_x
_atom_site_fract_y
_atom_site_fract_z
_atom_site_occupancy
Rb1 0.000 0.000 0.000 1
Nb1 0.115 0.250 0.625 1
Au1 0.000 0.000 0.500 1
# DOS at the Fermi energy	1.0322	states/eV/atom

Model B:
# RbNb2Au | Alexandria via LeMat-Bulk | GGA-PBE | optimized geometry
data_RbNb2Au
_cell_length_a 6.855
_cell_length_b 6.855
_cell_length_c 6.855
_cell_angle_alpha 90.00
_cell_angle_beta 90.00
_cell_angle_gamma 90.00
_space_group_name_H-M_alt 'F m -3 m'
_space_group_IT_number 225
_space_group_name_Hall '-F 4 2 3'
loop_
_atom_site_label
_atom_site_fract_x
_atom_site_fract_y
_atom_site_fract_z
_atom_site_occupancy
Rb1 0.000 0.000 0.000 1
Nb1 0.250 0.250 0.250 1
Au1 0.000 0.000 0.500 1
# DOS at the Fermi energy	1.3640	states/eV/atom

Least stable of them? model B.

Model A:
# Rb2NbAu | Alexandria via LeMat-Bulk | GGA-PBE | optimized geometry
data_Rb2NbAu
_cell_length_a 8.480
_cell_length_b 8.480
_cell_length_c 8.480
_cell_angle_alpha 90.00
_cell_angle_beta 90.00
_cell_angle_gamma 90.00
_space_group_name_H-M_alt 'F m -3 m'
_space_group_IT_number 225
_space_group_name_Hall '-F 4 2 3'
loop_
_atom_site_label
_atom_site_fract_x
_atom_site_fract_y
_atom_site_fract_z
_atom_site_occupancy
Rb1 0.250 0.250 0.250 1
Nb1 0.000 0.000 0.000 1
Au1 0.000 0.000 0.500 1
# DOS at the Fermi energy	1.3862	states/eV/atom

Model B:
# Rb2NbAu | Alexandria via LeMat-Bulk | GGA-PBE | optimized geometry
data_Rb2NbAu
_cell_length_a 12.624
_cell_length_b 12.624
_cell_length_c 5.353
_cell_angle_alpha 90.00
_cell_angle_beta 90.00
_cell_angle_gamma 90.00
_space_group_name_H-M_alt 'I -4 2 d'
_space_group_IT_number 122
_space_group_name_Hall 'I -4 2bw'
loop_
_atom_site_label
_atom_site_fract_x
_atom_site_fract_y
_atom_site_fract_z
_atom_site_occupancy
Rb1 0.095 0.250 0.125 1
Nb1 0.000 0.000 0.500 1
Au1 0.000 0.000 0.000 1
# DOS at the Fermi energy	0.7913	states/eV/atom

Least stable of them? model A.

Model A:
# RbNb3Au | Alexandria via LeMat-Bulk | GGA-PBE | optimized geometry
data_RbNb3Au
_cell_length_a 5.191
_cell_length_b 5.191
_cell_length_c 5.191
_cell_angle_alpha 90.00
_cell_angle_beta 90.00
_cell_angle_gamma 90.00
_space_group_name_H-M_alt 'P m -3 m'
_space_group_IT_number 221
_space_group_name_Hall '-P 4 2 3'
loop_
_atom_site_label
_atom_site_fract_x
_atom_site_fract_y
_atom_site_fract_z
_atom_site_occupancy
Rb1 0.000 0.000 0.000 1
Nb1 0.000 0.500 0.500 1
Au1 0.500 0.500 0.500 1
# DOS at the Fermi energy	0.8231	states/eV/atom

Model B:
# RbNb3Au | Alexandria via LeMat-Bulk | GGA-PBE | optimized geometry
data_RbNb3Au
_cell_length_a 4.768
_cell_length_b 4.768
_cell_length_c 4.768
_cell_angle_alpha 90.00
_cell_angle_beta 90.00
_cell_angle_gamma 90.00
_space_group_name_H-M_alt 'P m -3 m'
_space_group_IT_number 221
_space_group_name_Hall '-P 4 2 3'
loop_
_atom_site_label
_atom_site_fract_x
_atom_site_fract_y
_atom_site_fract_z
_atom_site_occupancy
Rb1 0.000 0.000 0.000 1
Nb1 0.000 0.000 0.500 1
Au1 0.500 0.500 0.500 1
# DOS at the Fermi energy	1.0568	states/eV/atom

Least stable of them? model B.

Model A:
# NbReAu2 | Alexandria via LeMat-Bulk | GGA-PBE | optimized geometry
data_NbReAu2
_cell_length_a 3.821
_cell_length_b 3.821
_cell_length_c 20.007
_cell_angle_alpha 90.00
_cell_angle_beta 90.00
_cell_angle_gamma 90.00
_space_group_name_H-M_alt 'I -4 2 d'
_space_group_IT_number 122
_space_group_name_Hall 'I -4 2bw'
loop_
_atom_site_label
_atom_site_fract_x
_atom_site_fract_y
_atom_site_fract_z
_atom_site_occupancy
Nb1 0.000 0.000 0.000 1
Re1 0.000 0.000 0.500 1
Au1 0.245 0.250 0.625 1
# DOS at the Fermi energy	0.4902	states/eV/atom

Model B:
# NbReAu2 | Alexandria via LeMat-Bulk | GGA-PBE | optimized geometry
data_NbReAu2
_cell_length_a 6.504
_cell_length_b 6.504
_cell_length_c 6.504
_cell_angle_alpha 90.00
_cell_angle_beta 90.00
_cell_angle_gamma 90.00
_space_group_name_H-M_alt 'F m -3 m'
_space_group_IT_number 225
_space_group_name_Hall '-F 4 2 3'
loop_
_atom_site_label
_atom_site_fract_x
_atom_site_fract_y
_atom_site_fract_z
_atom_site_occupancy
Nb1 0.000 0.000 0.000 1
Re1 0.000 0.000 0.500 1
Au1 0.250 0.250 0.250 1
# DOS at the Fermi energy	1.4480	states/eV/atom

Least stable of them? model A.

Model A:
# NbRe3Au | Alexandria via LeMat-Bulk | GGA-PBE | optimized geometry
data_NbRe3Au
_cell_length_a 4.736
_cell_length_b 4.736
_cell_length_c 4.736
_cell_angle_alpha 90.00
_cell_angle_beta 90.00
_cell_angle_gamma 90.00
_space_group_name_H-M_alt 'P m -3 m'
_space_group_IT_number 221
_space_group_name_Hall '-P 4 2 3'
loop_
_atom_site_label
_atom_site_fract_x
_atom_site_fract_y
_atom_site_fract_z
_atom_site_occupancy
Nb1 0.000 0.000 0.000 1
Re1 0.000 0.000 0.500 1
Au1 0.500 0.500 0.500 1
# DOS at the Fermi energy	1.5746	states/eV/atom

Model B:
# NbRe3Au | Alexandria via LeMat-Bulk | GGA-PBE | optimized geometry
data_NbRe3Au
_cell_length_a 4.744
_cell_length_b 4.744
_cell_length_c 4.744
_cell_angle_alpha 90.00
_cell_angle_beta 90.00
_cell_angle_gamma 90.00
_space_group_name_H-M_alt 'P m -3 m'
_space_group_IT_number 221
_space_group_name_Hall '-P 4 2 3'
loop_
_atom_site_label
_atom_site_fract_x
_atom_site_fract_y
_atom_site_fract_z
_atom_site_occupancy
Nb1 0.000 0.000 0.000 1
Re1 0.000 0.500 0.500 1
Au1 0.500 0.500 0.500 1
# DOS at the Fermi energy	2.0050	states/eV/atom

Least stable of them? model B.

Model A:
# Nb3Rh3Au | Alexandria via LeMat-Bulk | GGA-PBE | optimized geometry
data_Nb3Rh3Au
_cell_length_a 7.823
_cell_length_b 7.823
_cell_length_c 7.823
_cell_angle_alpha 90.00
_cell_angle_beta 90.00
_cell_angle_gamma 90.00
_space_group_name_H-M_alt 'P 21 3'
_space_group_IT_number 198
_space_group_name_Hall 'P 2ac 2ab 3'
loop_
_atom_site_label
_atom_site_fract_x
_atom_site_fract_y
_atom_site_fract_z
_atom_site_occupancy
Nb1 0.122 0.378 0.622 1
Nb2 0.148 0.852 0.352 1
Nb3 0.218 0.218 0.218 1
Rh1 0.018 0.190 0.902 1
Au1 0.061 0.561 0.939 1
# DOS at the Fermi energy	0.8640	states/eV/atom

Model B:
# Nb3Rh3Au | Alexandria via LeMat-Bulk | GGA-PBE | optimized geometry
data_Nb3Rh3Au
_cell_length_a 7.5951
_cell_length_b 7.5951
_cell_length_c 4.5789
_cell_angle_alpha 90.00
_cell_angle_beta 90.00
_cell_angle_gamma 120.00
_space_group_name_H-M_alt 'P 63/m'
_space_group_IT_number 176
_space_group_name_Hall '-P 6c'
loop_
_atom_site_label
_atom_site_fract_x
_atom_site_fract_y
_atom_site_fract_z
_atom_site_occupancy
Nb1 0.0824 0.4438 0.2500 1
Rh1 0.0407 0.2326 0.7500 1
Au1 0.3333 0.6667 0.7500 1
# DOS at the Fermi energy	1.0435	states/eV/atom

Least stable of them? model A.

Model A:
# Nb2Rh2Au | Alexandria via LeMat-Bulk | GGA-PBE | optimized geometry
data_Nb2Rh2Au
_cell_length_a 7.569
_cell_length_b 7.569
_cell_length_c 2.955
_cell_angle_alpha 90.00
_cell_angle_beta 90.00
_cell_angle_gamma 90.00
_space_group_name_H-M_alt 'P 4/m b m'
_space_group_IT_number 127
_space_group_name_Hall '-P 4 2ab'
loop_
_atom_site_label
_atom_site_fract_x
_atom_site_fract_y
_atom_site_fract_z
_atom_site_occupancy
Nb1 0.167 0.333 0.000 1
Rh1 0.130 0.630 0.500 1
Au1 0.000 0.000 0.500 1
# DOS at the Fermi energy	0.8951	states/eV/atom

Model B:
# Nb2Rh2Au | Alexandria via LeMat-Bulk | GGA-PBE | optimized geometry
data_Nb2Rh2Au
_cell_length_a 4.460
_cell_length_b 5.625
_cell_length_c 6.810
_cell_angle_alpha 90.00
_cell_angle_beta 90.00
_cell_angle_gamma 90.00
_space_group_name_H-M_alt 'I m m m'
_space_group_IT_number 71
_space_group_name_Hall '-I 2 2'
loop_
_atom_site_label
_atom_site_fract_x
_atom_site_fract_y
_atom_site_fract_z
_atom_site_occupancy
Nb1 0.000 0.000 0.192 1
Rh1 0.000 0.278 0.500 1
Au1 0.000 0.500 0.000 1
# DOS at the Fermi energy	0.5636	states/eV/atom

Model C:
# Nb2Rh2Au | Alexandria via LeMat-Bulk | GGA-PBE | optimized geometry
data_Nb2Rh2Au
_cell_length_a 7.819
_cell_length_b 7.819
_cell_length_c 2.844
_cell_angle_alpha 90.00
_cell_angle_beta 90.00
_cell_angle_gamma 90.00
_space_group_name_H-M_alt 'P 4/m b m'
_space_group_IT_number 127
_space_group_name_Hall '-P 4 2ab'
loop_
_atom_site_label
_atom_site_fract_x
_atom_site_fract_y
_atom_site_fract_z
_atom_site_occupancy
Nb1 0.152 0.348 0.000 1
Rh1 0.140 0.640 0.500 1
Au1 0.000 0.000 0.000 1
# DOS at the Fermi energy	0.7427	states/eV/atom

Least stable of them? model C.

Model A:
# Nb2Rh3Au2 | Alexandria via LeMat-Bulk | GGA-PBE | optimized geometry
data_Nb2Rh3Au2
_cell_length_a 3.958
_cell_length_b 5.053
_cell_length_c 6.289
_cell_angle_alpha 83.92
_cell_angle_beta 90.00
_cell_angle_gamma 66.95
_space_group_name_H-M_alt 'P -1'
_space_group_IT_number 2
loop_
_space_group_symop_operation_xyz
'x,y,z'
'-x,-y,-z'
loop_
_atom_site_label
_atom_site_fract_x
_atom_site_fract_y
_atom_site_fract_z
_atom_site_occupancy
Nb1 0.142 0.217 0.397 1
Rh1 0.000 0.500 0.000 1
Rh2 0.291 0.918 0.841 1
Au1 0.426 0.649 0.280 1
# DOS at the Fermi energy	0.9488	states/eV/atom

Model B:
# Nb2Rh3Au2 | Alexandria via LeMat-Bulk | GGA-PBE | optimized geometry
data_Nb2Rh3Au2
_cell_length_a 7.700
_cell_length_b 4.470
_cell_length_c 7.485
_cell_angle_alpha 90.00
_cell_angle_beta 110.04
_cell_angle_gamma 90.00
_space_group_name_H-M_alt 'C 1 2/m 1'
_space_group_IT_number 12
loop_
_space_group_symop_operation_xyz
'x,y,z'
'-x,-y,-z'
'-x,y,-z'
'x,-y,z'
'x+1/2,y+1/2,z'
'-x+1/2,-y+1/2,-z'
'-x+1/2,y+1/2,-z'
'x+1/2,-y+1/2,z'
loop_
_atom_site_label
_atom_site_fract_x
_atom_site_fract_y
_atom_site_fract_z
_atom_site_occupancy
Nb1 0.110 0.000 0.332 1
Rh1 0.000 0.500 0.500 1
Rh2 0.236 0.000 0.705 1
Au1 0.132 0.500 0.894 1
# DOS at the Fermi energy	0.6227	states/eV/atom

Least stable of them? model A.

Model A:
# TiNbRhAu | Alexandria via LeMat-Bulk | GGA-PBE | optimized geometry
data_TiNbRhAu
_cell_length_a 6.392
_cell_length_b 6.392
_cell_length_c 6.392
_cell_angle_alpha 90.00
_cell_angle_beta 90.00
_cell_angle_gamma 90.00
_space_group_name_H-M_alt 'F -4 3 m'
_space_group_IT_number 216
_space_group_name_Hall 'F -4 2 3'
loop_
_atom_site_label
_atom_site_fract_x
_atom_site_fract_y
_atom_site_fract_z
_atom_site_occupancy
Ti1 0.000 0.000 0.000 1
Nb1 0.250 0.250 0.250 1
Rh1 0.000 0.000 0.500 1
Au1 0.250 0.250 0.750 1
# DOS at the Fermi energy	0.9647	states/eV/atom

Model B:
# TiNbRhAu | Alexandria via LeMat-Bulk | GGA-PBE | optimized geometry
data_TiNbRhAu
_cell_length_a 2.870
_cell_length_b 2.870
_cell_length_c 7.990
_cell_angle_alpha 90.00
_cell_angle_beta 90.00
_cell_angle_gamma 90.00
_space_group_name_H-M_alt 'P 4 m m'
_space_group_IT_number 99
loop_
_space_group_symop_operation_xyz
'x,y,z'
'-y,x,z'
'-x,-y,z'
'y,-x,z'
'-x,y,z'
'y,x,z'
'x,-y,z'
'-y,-x,z'
loop_
_atom_site_label
_atom_site_fract_x
_atom_site_fract_y
_atom_site_fract_z
_atom_site_occupancy
Ti1 0.000 0.000 0.000 1
Nb1 0.000 0.000 0.537 1
Rh1 0.500 0.500 0.783 1
Au1 0.500 0.500 0.264 1
# DOS at the Fermi energy	1.0788	states/eV/atom

Least stable of them? model A.

Model A:
# Nb3RuAu | Alexandria via LeMat-Bulk | GGA-PBE | optimized geometry
data_Nb3RuAu
_cell_length_a 4.884
_cell_length_b 4.884
_cell_length_c 4.884
_cell_angle_alpha 90.00
_cell_angle_beta 90.00
_cell_angle_gamma 90.00
_space_group_name_H-M_alt 'P m -3 m'
_space_group_IT_number 221
_space_group_name_Hall '-P 4 2 3'
loop_
_atom_site_label
_atom_site_fract_x
_atom_site_fract_y
_atom_site_fract_z
_atom_site_occupancy
Nb1 0.000 0.000 0.500 1
Ru1 0.500 0.500 0.500 1
Au1 0.000 0.000 0.000 1
# DOS at the Fermi energy	1.9782	states/eV/atom

Model B:
# Nb3RuAu | Alexandria via LeMat-Bulk | GGA-PBE | optimized geometry
data_Nb3RuAu
_cell_length_a 4.776
_cell_length_b 4.776
_cell_length_c 4.776
_cell_angle_alpha 90.00
_cell_angle_beta 90.00
_cell_angle_gamma 90.00
_space_group_name_H-M_alt 'P m -3 m'
_space_group_IT_number 221
_space_group_name_Hall '-P 4 2 3'
loop_
_atom_site_label
_atom_site_fract_x
_atom_site_fract_y
_atom_site_fract_z
_atom_site_occupancy
Nb1 0.000 0.000 0.500 1
Ru1 0.000 0.000 0.000 1
Au1 0.500 0.500 0.500 1
# DOS at the Fermi energy	0.9391	states/eV/atom

Least stable of them? model A.

Model A:
# NbRu2Au | Alexandria via LeMat-Bulk | GGA-PBE | optimized geometry
data_NbRu2Au
_cell_length_a 3.922
_cell_length_b 3.922
_cell_length_c 18.126
_cell_angle_alpha 90.00
_cell_angle_beta 90.00
_cell_angle_gamma 90.00
_space_group_name_H-M_alt 'I -4 2 d'
_space_group_IT_number 122
_space_group_name_Hall 'I -4 2bw'
loop_
_atom_site_label
_atom_site_fract_x
_atom_site_fract_y
_atom_site_fract_z
_atom_site_occupancy
Nb1 0.000 0.000 0.000 1
Ru1 0.223 0.250 0.125 1
Au1 0.000 0.000 0.500 1
# DOS at the Fermi energy	1.4562	states/eV/atom

Model B:
# NbRu2Au | Alexandria via LeMat-Bulk | GGA-PBE | optimized geometry
data_NbRu2Au
_cell_length_a 3.276
_cell_length_b 3.276
_cell_length_c 5.992
_cell_angle_alpha 90.00
_cell_angle_beta 90.00
_cell_angle_gamma 90.00
_space_group_name_H-M_alt 'P 4/m m m'
_space_group_IT_number 123
_space_group_name_Hall '-P 4 2'
loop_
_atom_site_label
_atom_site_fract_x
_atom_site_fract_y
_atom_site_fract_z
_atom_site_occupancy
Nb1 0.000 0.000 0.000 1
Ru1 0.500 0.500 0.236 1
Au1 0.000 0.000 0.500 1
# DOS at the Fermi energy	1.2285	states/eV/atom

Least stable of them? model A.